(1)
DFT (PBE-GGA) results for a relaxed Li2WAu crystal.

Calculated values
Space group   Immm
Formation energy from the elements   99 kJ/mol of formula units
Magnetic moment   0.00 Bohr magnetons per cell
DFT total energy   -19.03 eV/cell
Polymorph energy (0 for the lowest one)   165 meV per atom

```
Li2WAu
1.0
-3.484 2.575 3.493
-5.253 -1.785 0.444
5.491 -0.694 0.583
Au Li W
1 2 1
Direct
0.250 0.750 0.500
0.010 0.010 0.000
0.490 0.490 0.000
0.750 0.250 0.500
```

***

(2)
DFT (PBE-GGA) results for a relaxed Zr2PtAuS crystal.

Calculated values
Space group   P4/mmm
E_form (uncorrected)   744 meV/atom
Magnetic moment   0.00 Bohr magnetons per cell
DFT total energy   -26.82 eV/cell
Polymorph energy (0 for the lowest one)   523 meV per atom

```
Zr2PtAuS
1.0
-4.789 1.460 -1.503
-1.654 -1.320 3.986
0.850 4.781 1.936
S Au Zr Pt
1 1 2 1
Direct
0.000 0.500 0.000
0.000 0.000 0.000
0.000 0.000 0.500
0.500 0.000 0.000
0.500 0.500 0.500
```

***

(3)
DFT (PBE-GGA) results for a relaxed Cs3In2Cl7 crystal.

Calculated values
Space group   I4/mmm
E_form (uncorrected)   -1510 meV/atom
Magnetic moment   0.00 Bohr magnetons per cell
DFT total energy   -39.09 eV/cell
Polymorph energy (0 for the lowest one)   0 meV per atom

```
Cs3In2Cl7
1.0
-0.792 5.410 -0.311
-4.789 -0.552 2.598
9.364 -0.749 11.330
Cs In Cl
3 2 7
Direct
0.317 0.317 0.635
0.683 0.683 0.365
0.500 0.500 0.000
0.098 0.098 0.196
0.902 0.902 0.804
0.000 0.000 0.000
0.903 0.403 0.806
0.403 0.903 0.806
0.097 0.597 0.194
0.597 0.097 0.194
0.194 0.194 0.389
0.806 0.806 0.611
```